First-principles (PBE) data for a relaxed structure of DyNiP2Ru, as listed in Alexandria.

Lattice parameters (Å, degrees): 3.899 3.899 9.803 90.00 90.00 90.00
Space group I-4m2 (No. 119)
One atom of each set of equivalent atoms:
Dy: 0.000 0.000 0.000 (multiplicity 2)
Ni: 0.000 0.500 0.250 (multiplicity 2)
P: 0.000 0.000 0.383 (multiplicity 4)
Ru: 0.000 0.500 0.750 (multiplicity 2)

Output
total magnetic moment: 0.00 μB per formula unit
energy of formation from the pure elements: -21.72 kcal/mol of atoms